## LaEr7Sc2 (PBE)

Data for a relaxed structure of LaEr7Sc2.

Output
E, Ry per atom: -0.3155
DOS at the Fermi energy, states/eV per cell: 14.6
Energy relative to the lowest polymorph listed for this composition, eV per atom: 0.5864
Volume, Å³ per cell: 368.14

Cell: 5.585 8.725 8.726 Å, 120.04 90.00 90.00°
Sites, in units of the cell vectors:
La  0.000  0.000  0.000
Sc  0.500  0.297  0.703
Er  0.000  0.241  0.759
Er  0.000  0.759  0.241
Er  0.500  0.696  0.942
Sc  0.500  0.703  0.297
Er  0.500  0.500  0.500
Er  0.500  0.058  0.304
Er  0.500  0.942  0.696
Er  0.500  0.304  0.058

***

## Li2ScTa (PBE)

Data for a relaxed structure of Li2ScTa.

Output
E, Ry per atom: -0.3707
DOS at the Fermi energy, states/eV per cell: 4.1
Energy relative to the lowest polymorph listed for this composition, eV per atom: 0.2807
Volume, Å³ per cell: 74.59

Cell: 2.800 2.800 9.512 Å, 90.00 90.00 90.00°
Sites, in units of the cell vectors:
Li  0.000  0.000  0.987
Sc  0.500  0.500  0.250
Ta  0.500  0.500  0.750
Li  0.000  0.000  0.513